SrGdAu2 | PBE | optimized geometry

The structure belongs to space group P4/mmm (No. 123); the cell edges are 3.7295, 3.7295 and 7.5284 Å and the angles 90.00°, 90.00° and 90.00°. The asymmetric unit holds Sr at (0.0000, 0.0000, 0.0000), Gd at (0.0000, 0.0000, 0.5000) and Au at (0.5000, 0.5000, 0.2854).

The calculation puts the calculated formation energy at -0.790 eV per atom. Its crystal system is tetragonal.

---

SrGdAu | PBE | optimized geometry

The structure belongs to space group I4mm (No. 107); the cell edges are 3.7785, 3.7785 and 13.4308 Å and the angles 90.00°, 90.00° and 90.00°. The asymmetric unit holds Sr at (0.0000, 0.0000, 0.0000), Gd at (0.0000, 0.0000, 0.2664) and Au at (0.0000, 0.0000, 0.6606).

The calculation puts the calculated formation energy at -0.493 eV per atom. Its crystal system is tetragonal. The calculation puts the energy above the most stable polymorph in this dataset at 0.0000 eV per atom.

---

SrGdTlAu | PBE | optimized geometry

The structure belongs to space group F-43m (No. 216); the cell edges are 7.6763, 7.6763 and 7.6763 Å and the angles 90.00°, 90.00° and 90.00°. The asymmetric unit holds Sr at (0.0000, 0.0000, 0.0000), Gd at (0.0000, 0.0000, 0.5000), Tl at (0.2500, 0.2500, 0.2500) and Au at (0.2500, 0.2500, 0.7500).

The calculation puts the calculated formation energy at -0.512 eV per atom. Its crystal system is cubic.

---

SrGdZnAu | PBE | optimized geometry

The structure belongs to space group F-43m (No. 216); the cell edges are 7.4592, 7.4592 and 7.4592 Å and the angles 90.00°, 90.00° and 90.00°. The asymmetric unit holds Sr at (0.0000, 0.0000, 0.0000), Gd at (0.0000, 0.0000, 0.5000), Zn at (0.2500, 0.2500, 0.2500) and Au at (0.2500, 0.2500, 0.7500).

The calculation puts the calculated formation energy at -0.458 eV per atom. Its crystal system is cubic.

---

TbGdTcAu | PBE | optimized geometry

The structure belongs to space group F-43m (No. 216); the cell edges are 7.0519, 7.0519 and 7.0519 Å and the angles 90.00°, 90.00° and 90.00°. The asymmetric unit holds Tb at (0.0000, 0.0000, 0.0000), Gd at (0.0000, 0.0000, 0.5000), Tc at (0.2500, 0.2500, 0.2500) and Au at (0.2500, 0.2500, 0.7500).

The calculation puts the calculated formation energy at -0.322 eV per atom. Its crystal system is cubic.

---

TbGdTlAu | PBE | optimized geometry

The structure belongs to space group F-43m (No. 216); the cell edges are 7.4528, 7.4528 and 7.4528 Å and the angles 90.00°, 90.00° and 90.00°. The asymmetric unit holds Tb at (0.0000, 0.0000, 0.0000), Gd at (0.0000, 0.0000, 0.5000), Tl at (0.2500, 0.2500, 0.7500) and Au at (0.2500, 0.2500, 0.2500).

The calculation puts the calculated formation energy at -0.566 eV per atom. Its crystal system is cubic.

---

Q: What is the calculated formation energy in the fifth record?
A: -0.322 eV per atom

---

Q: calculated formation energy of number 1 (SrGdAu2)?
A: -0.790 eV per atom

---

Q: calculated formation energy of number 3 (SrGdTlAu)?
A: -0.512 eV per atom